A relaxed Cu2Si crystal. Source: the Alexandria database, functional PBE-GGA.

Output
- E: -0.1644 Ha/atom
- V: 38 Å³ per cell
- Space group: R3m, No. 160

Cell and atoms, written as POSCAR:
```
Cu2Si
1.0
1.366 0.789 5.854
-1.366 0.789 5.854
0.000 -1.577 5.854
Cu Si
2 1
Direct
0.000 0.000 0.000
0.217 0.217 0.217
0.442 0.442 0.442
```